<A>
{
  "formula": "NaTlHg4",
  "functional": "PBE",
  "state": "optimized geometry",
  "crystal_system": "monoclinic",
  "m_tot_mub_per_fu": 0.00,
  "dos_ef_per_ev_atom": 0.26,
  "space_group": "C2/m (12)",
  "lattice_angstrom": [[4.8987, 1.7063, 0.9060], [2.8767, 4.3166, 0.9060], [2.1180, 1.6406, 10.8081]],
  "species": ["Na", "Tl", "Hg", "Hg", "Hg", "Hg"],
  "frac_coords": [[0.0000, 0.0000, 0.0000], [0.5000, 0.5000, 0.5000], [0.6559, 0.6559, 0.1569], [0.3441, 0.3441, 0.8431], [0.1568, 0.1567, 0.6794], [0.8432, 0.8433, 0.3206]]
}

***

<B>
{
  "formula": "NaTlHg4",
  "functional": "PBE",
  "state": "optimized geometry",
  "crystal_system": "cubic",
  "m_tot_mub_per_fu": 0.00,
  "dos_ef_per_ev_atom": 0.64,
  "space_group": "F-43m (216)",
  "lattice_angstrom": [[-3.9926, -4.2938, 1.9882], [-0.3013, -5.4959, -2.8346], [2.0861, -5.0779, 2.8624]],
  "species": ["Na", "Tl", "Hg", "Hg", "Hg", "Hg"],
  "frac_coords": [[0.2500, 0.2500, 0.2500], [0.0000, 0.0000, 0.0000], [0.6248, 0.6248, 0.1256], [0.6248, 0.1256, 0.6248], [0.6248, 0.6248, 0.6248], [0.1256, 0.6248, 0.6248]]
}

***

Which of them is least stable? Easy: <B>.

***

<A>
{
  "formula": "NaTl5Hg2",
  "functional": "PBE",
  "state": "optimized geometry",
  "crystal_system": "orthorhombic",
  "m_tot_mub_per_fu": 0.00,
  "dos_ef_per_ev_atom": 0.54,
  "space_group": "Pbam (55)",
  "lattice_angstrom": [[4.7446, 0.0000, 0.0000], [0.0000, 6.9921, 0.0000], [0.0000, 0.0000, 13.8734]],
  "species": ["Na", "Na", "Tl", "Tl", "Tl", "Tl", "Tl", "Tl", "Tl", "Tl", "Tl", "Tl", "Hg", "Hg", "Hg", "Hg"],
  "frac_coords": [[0.0000, 0.0000, 0.5000], [0.0000, 0.5000, 0.0000], [0.0000, 0.0000, 0.0000], [0.0000, 0.5000, 0.5000], [0.0000, 0.4996, 0.7559], [0.0000, 0.5004, 0.2441], [0.0000, 0.0004, 0.2559], [0.0000, 0.9996, 0.7441], [0.5000, 0.2408, 0.8726], [0.5000, 0.7592, 0.1274], [0.5000, 0.2592, 0.3726], [0.5000, 0.7408, 0.6274], [0.5000, 0.2444, 0.6206], [0.5000, 0.7556, 0.3794], [0.5000, 0.2556, 0.1206], [0.5000, 0.7444, 0.8794]]
}

***

<B>
{
  "formula": "NaTl5Hg2",
  "functional": "PBE",
  "state": "optimized geometry",
  "crystal_system": "triclinic",
  "m_tot_mub_per_fu": 0.00,
  "dos_ef_per_ev_atom": 0.39,
  "space_group": "P1 (1)",
  "lattice_angstrom": [[5.8870, 1.9095, 2.4250], [5.3759, 8.3928, 1.5577], [1.0372, 1.3268, 6.2752]],
  "species": ["Na", "Tl", "Tl", "Tl", "Tl", "Tl", "Hg", "Hg"],
  "frac_coords": [[0.9641, 0.0598, 0.1130], [0.5691, 0.3719, 0.5783], [0.0745, 0.3491, 0.6137], [0.2267, 0.5922, 0.1118], [0.2518, 0.8547, 0.5840], [0.4428, 0.0947, 0.0836], [0.7485, 0.5942, 0.0792], [0.7225, 0.8604, 0.6134]]
}

***

Which of them is least stable? Easy: <A>.

***

<A>
{
  "formula": "NaTl2Hg2",
  "functional": "PBE",
  "state": "optimized geometry",
  "crystal_system": "tetragonal",
  "m_tot_mub_per_fu": 0.00,
  "dos_ef_per_ev_atom": 0.39,
  "space_group": "P4/mbm (127)",
  "lattice_angstrom": [[-8.2051, 0.6716, 2.7104], [-2.6375, -4.6268, -6.8379], [0.4163, -3.3132, 2.0813]],
  "species": ["Na", "Na", "Tl", "Tl", "Tl", "Tl", "Hg", "Hg", "Hg", "Hg"],
  "frac_coords": [[0.0000, 0.0000, 0.0000], [0.5000, 0.5000, 0.0000], [0.3610, 0.8610, 0.0000], [0.8610, 0.6390, 0.0000], [0.6390, 0.1390, 0.0000], [0.1390, 0.3610, 0.0000], [0.1607, 0.6607, 0.5000], [0.6607, 0.8393, 0.5000], [0.8393, 0.3393, 0.5000], [0.3393, 0.1607, 0.5000]]
}

***

<B>
{
  "formula": "NaTl2Hg2",
  "functional": "PBE",
  "state": "optimized geometry",
  "crystal_system": "orthorhombic",
  "m_tot_mub_per_fu": 0.00,
  "dos_ef_per_ev_atom": 0.43,
  "space_group": "Cmmm (65)",
  "lattice_angstrom": [[3.8042, 0.0000, 0.0000], [0.0000, 4.0266, 0.7629], [0.0000, 0.3064, 9.3900]],
  "species": ["Na", "Tl", "Tl", "Hg", "Hg"],
  "frac_coords": [[0.0000, 0.0000, 0.0000], [0.0000, 0.1817, 0.6367], [0.0000, 0.8183, 0.3633], [0.5000, 0.4092, 0.1816], [0.5000, 0.5908, 0.8184]]
}

***

Which of them is least stable? Easy: <A>.

***

<A>
{
  "formula": "NaTl2Hg2",
  "functional": "PBE",
  "state": "optimized geometry",
  "crystal_system": "tetragonal",
  "m_tot_mub_per_fu": 0.00,
  "dos_ef_per_ev_atom": 0.48,
  "space_group": "I4/mmm (139)",
  "lattice_angstrom": [[4.4608, 0.0000, 0.0000], [0.0000, 4.4608, 0.0000], [2.2304, 2.2304, 7.6748]],
  "species": ["Na", "Tl", "Tl", "Hg", "Hg"],
  "frac_coords": [[0.0000, 0.0000, 0.0000], [0.3988, 0.3988, 0.2024], [0.6012, 0.6012, 0.7976], [0.7500, 0.2500, 0.5000], [0.2500, 0.7500, 0.5000]]
}

***

<B>
{
  "formula": "NaTl2Hg2",
  "functional": "PBE",
  "state": "optimized geometry",
  "crystal_system": "monoclinic",
  "m_tot_mub_per_fu": 0.00,
  "dos_ef_per_ev_atom": 0.48,
  "space_group": "C2/m (12)",
  "lattice_angstrom": [[5.3511, 0.0000, 0.0000], [2.6756, 5.9106, -1.0614], [2.6756, -1.5123, 9.0937]],
  "species": ["Na", "Na", "Tl", "Tl", "Tl", "Tl", "Hg", "Hg", "Hg", "Hg"],
  "frac_coords": [[0.5328, 0.2024, 0.7320], [0.4672, 0.7976, 0.2680], [0.7081, 0.2287, 0.3550], [0.8862, 0.2653, 0.9623], [0.2919, 0.7713, 0.6450], [0.1138, 0.7347, 0.0377], [0.0763, 0.2806, 0.5669], [0.6999, 0.7437, 0.8564], [0.9237, 0.7194, 0.4331], [0.3001, 0.2563, 0.1436]]
}

***

<C>
{
  "formula": "NaTl2Hg2",
  "functional": "PBE",
  "state": "optimized geometry",
  "crystal_system": "tetragonal",
  "m_tot_mub_per_fu": 0.00,
  "dos_ef_per_ev_atom": 0.34,
  "space_group": "P4/mbm (127)",
  "lattice_angstrom": [[-7.1760, -4.0566, 1.6099], [3.9254, -4.6449, 5.7930], [-0.9467, 2.8298, 2.9105]],
  "species": ["Na", "Na", "Tl", "Tl", "Tl", "Tl", "Hg", "Hg", "Hg", "Hg"],
  "frac_coords": [[0.0000, 0.0000, 0.0000], [0.5000, 0.5000, 0.0000], [0.1619, 0.6619, 0.5000], [0.6619, 0.8381, 0.5000], [0.8381, 0.3381, 0.5000], [0.3381, 0.1619, 0.5000], [0.3597, 0.8597, 0.0000], [0.8597, 0.6403, 0.0000], [0.6403, 0.1403, 0.0000], [0.1403, 0.3597, 0.0000]]
}

***

Which of them is least stable? Easy: <A>.